1.
DFT (PBE) results for an optimized crystal structure of PrNd5DyHo2.

```
PrNd5DyHo2
1.0
5.683 0.000 0.000
-2.841 10.223 0.000
0.000 0.000 10.791
Ho Nd Dy Pr
4 10 2 2
Direct
0.890 0.780 0.238
0.117 0.233 0.318
0.883 0.767 0.818
0.110 0.220 0.738
0.983 0.967 0.523
0.718 0.437 0.808
0.282 0.563 0.308
0.017 0.033 0.023
0.479 0.958 0.742
0.704 0.407 0.203
0.392 0.784 0.026
0.521 0.042 0.242
0.296 0.593 0.703
0.608 0.216 0.526
0.589 0.178 0.957
0.411 0.822 0.457
0.202 0.405 0.009
0.798 0.595 0.509
```

Calculated values
Crystal system ... orthorhombic
Total DFT energy (no corrections) ... -4.56 eV/atom
ΔE_f ... 0.144 eV per atom
Spin magnetization ... 0.00 μB/f.u.

2.
DFT (PBE) results for an optimized crystal structure of Pr2NdDyHo2.

```
Pr2NdDyHo2
1.0
-2.157 3.306 -4.146
2.508 -4.451 -4.853
-8.496 -5.139 0.322
Dy Pr Nd Ho
2 4 2 4
Direct
0.500 0.758 0.336
0.500 0.258 0.664
0.500 0.008 0.000
0.000 0.258 0.170
0.000 0.758 0.830
0.500 0.508 0.000
0.000 0.008 0.500
0.000 0.508 0.500
0.500 0.257 0.333
0.000 0.758 0.166
0.000 0.258 0.834
0.500 0.757 0.667
```

Calculated values
Crystal system ... orthorhombic
Total DFT energy (no corrections) ... -4.61 eV/atom
ΔE_f ... 0.068 eV per atom
Spin magnetization ... 0.00 μB/f.u.